No. 1
DFT (GGA-PBE) results for an optimized crystal structure of Rb3PaCr2Se6.

The structure in POSCAR format:
```
Rb3PaCr2Se6
1.0
3.486 -6.035 0.000
3.486 6.035 0.000
-2.332 0.000 7.973
Rb Pa Cr Se
3 1 2 6
direct
0.000 0.000 0.000 Rb
0.335 0.665 0.000 Rb
0.665 0.335 0.000 Rb
0.500 0.500 0.500 Pa
0.167 0.833 0.500 Cr
0.833 0.167 0.500 Cr
0.091 0.439 0.316 Se
0.213 0.213 0.683 Se
0.439 0.091 0.316 Se
0.561 0.909 0.684 Se
0.787 0.787 0.317 Se
0.909 0.561 0.684 Se
```

Results
symmetry: C2/m
formation energy (no corrections): -0.984 eV/atom

***

No. 2
DFT (GGA-PBE) results for an optimized crystal structure of RbPaCrSe4.

The structure in POSCAR format:
```
RbPaCrSe4
1.0
-4.557 4.679 4.949
4.557 -4.679 4.949
4.557 4.679 -4.949
Rb Pa Cr Se
2 2 2 8
direct
0.399 0.149 0.250 Rb
0.601 0.851 0.750 Rb
0.000 0.000 0.500 Pa
0.000 0.500 0.000 Pa
0.000 0.500 0.500 Cr
0.500 0.500 0.000 Cr
0.177 0.243 0.934 Se
0.191 0.757 0.434 Se
0.268 0.339 0.571 Se
0.268 0.698 0.929 Se
0.732 0.302 0.071 Se
0.732 0.661 0.429 Se
0.809 0.243 0.566 Se
0.823 0.757 0.066 Se
```

Results
symmetry: Imma
formation energy (no corrections): -0.947 eV/atom

***

No. 3
DFT (GGA-PBE) results for an optimized crystal structure of PaCrRe2.

The structure in POSCAR format:
```
PaCrRe2
1.0
2.960 0.000 0.000
0.000 2.960 0.000
0.000 0.000 7.549
Pa Cr Re
1 1 2
direct
0.000 0.000 0.000 Pa
0.000 0.000 0.500 Cr
0.500 0.500 0.303 Re
0.500 0.500 0.697 Re
```

Results
symmetry: P4/mmm
energy above the lowest structure with this stoichiometry: 0 meV/atom
ΔH_f (0 K): 0.0780 eV per atom